1.
Tb5NdIn | PBE | optimized geometry

Geometry as CIF:
```
data_Tb5NdIn
_chemical_formula_sum 'Tb10 Nd2 In2'
_symmetry_space_group_name_H-M 'I m m 2'
_symmetry_Int_Tables_number 44
_cell_length_a 6.300
_cell_length_b 6.535
_cell_length_c 10.960
_cell_angle_alpha 90.00
_cell_angle_beta 90.00
_cell_angle_gamma 90.00
loop_
_symmetry_equiv_pos_as_xyz
'x,y,z'
'-x,-y,z'
'-x,y,z'
'x,-y,z'
'x+1/2,y+1/2,z+1/2'
'-x+1/2,-y+1/2,z+1/2'
'-x+1/2,y+1/2,z+1/2'
'x+1/2,-y+1/2,z+1/2'
loop_
_atom_site_label
_atom_site_fract_x
_atom_site_fract_y
_atom_site_fract_z
Tb1 0.000 0.000 0.000
Tb2 0.000 0.268 0.252
Tb3 0.243 0.500 0.972
Nd1 0.000 0.500 0.625
In1 0.000 0.000 0.724
```



2.
BaReMo2 | PBE | optimized geometry

Results
- Energy relative to the lowest polymorph listed for this composition: 574 meV/atom

Geometry as CIF:
```
data_BaReMo2
_chemical_formula_sum 'Ba4 Re4 Mo8'
_symmetry_space_group_name_H-M 'I 41/a m d'
_symmetry_Int_Tables_number 141
_cell_length_a 5.098
_cell_length_b 5.098
_cell_length_c 17.269
_cell_angle_alpha 90.00
_cell_angle_beta 90.00
_cell_angle_gamma 90.00
loop_
_symmetry_equiv_pos_as_xyz
'x,y,z'
'-x,-y,-z'
'-y+1/4,x+3/4,z+1/4'
'y+1/4,-x+3/4,-z+1/4'
'-x+1/2,-y,z+1/2'
'x+1/2,y,-z+1/2'
'y+1/4,-x+1/4,z+3/4'
'-y+1/4,x+1/4,-z+3/4'
'x,-y,-z'
'-x,y,z'
'-y+1/4,-x+1/4,-z+3/4'
'y+1/4,x+1/4,z+3/4'
'-x+1/2,y,-z+1/2'
'x+1/2,-y,z+1/2'
'y+1/4,x+3/4,-z+1/4'
'-y+1/4,-x+3/4,z+1/4'
'x+1/2,y+1/2,z+1/2'
'-x+1/2,-y+1/2,-z+1/2'
'-y+3/4,x+1/4,z+3/4'
'y+3/4,-x+1/4,-z+3/4'
'-x,-y+1/2,z'
'x,y+1/2,-z'
'y+3/4,-x+3/4,z+1/4'
'-y+3/4,x+3/4,-z+1/4'
'x+1/2,-y+1/2,-z+1/2'
'-x+1/2,y+1/2,z+1/2'
'-y+3/4,-x+3/4,-z+1/4'
'y+3/4,x+3/4,z+1/4'
'-x,y+1/2,-z'
'x,-y+1/2,z'
'y+3/4,x+1/4,-z+3/4'
'-y+3/4,-x+1/4,z+3/4'
loop_
_atom_site_label
_atom_site_fract_x
_atom_site_fract_y
_atom_site_fract_z
Ba1 0.000 0.250 0.375
Re1 0.000 0.250 0.875
Mo1 0.000 0.000 0.000
```



3.
Sc2WAu | PBE | optimized geometry

Results
- Energy relative to the lowest polymorph listed for this composition: 414 meV/atom

Geometry as CIF:
```
data_Sc2WAu
_chemical_formula_sum 'Sc6 W3 Au3'
_symmetry_space_group_name_H-M 'R 3 m'
_symmetry_Int_Tables_number 160
_symmetry_space_group_name_Hall 'R 3 -2"'
_cell_length_a 3.0481
_cell_length_b 3.0481
_cell_length_c 29.3332
_cell_angle_alpha 90.00
_cell_angle_beta 90.00
_cell_angle_gamma 120.00
loop_
_atom_site_label
_atom_site_fract_x
_atom_site_fract_y
_atom_site_fract_z
Sc1 0.0000 0.0000 0.0000
Sc2 0.0000 0.0000 0.2372
W1 0.0000 0.0000 0.7458
Au1 0.0000 0.0000 0.4905
```



We obtain final energy values of -60.14; -123.00; -84.02 eV for the cell shown for the records listed above, in that order.